No. 1
MgNi2Os PBE optimized geometry; SG = C2/m (12); M_tot = 0.0 μB/f.u.; ρ = 10.30 g/cm3; ΔE_f = 0.139 eV/atom; density of states at the Fermi level = 3.89 states/eV/cell
1.0
-2.268 -0.938 -3.740
0.222 -1.588 -4.176
-1.015 -4.602 1.066
Os Ni Mg
1 2 1
Direct
0.750 0.750 0.750
0.494 0.494 0.524
0.006 0.006 0.976
0.250 0.250 0.250

---

No. 2
Ho5Co2Au2 PBE optimized geometry; SG = Cmce (64); M_tot = 0.0 μB/f.u.; ρ = 10.89 g/cm3; ΔE_f = -0.499 eV/atom; density of states at the Fermi level = 15.75 states/eV/cell
1.0
6.756 0.000 2.453
0.000 7.275 0.000
0.719 0.000 8.553
Ho Co Au
10 4 4
Direct
0.306 0.678 0.743
0.694 0.322 0.257
0.194 0.178 0.257
0.000 0.000 0.000
0.451 0.178 0.743
0.500 0.500 0.000
0.049 0.678 0.257
0.806 0.822 0.743
0.951 0.322 0.743
0.549 0.822 0.257
0.110 0.388 0.000
0.390 0.888 0.000
0.610 0.112 0.000
0.890 0.612 0.000
0.787 0.000 0.427
0.713 0.500 0.573
0.213 0.000 0.573
0.287 0.500 0.427

---

No. 3
Sm6DyEr4 PBE optimized geometry; SG = Cmcm (63); M_tot = 0.0 μB/f.u.; ΔE to the lowest computed polymorph = 0 meV/atom; ρ = 8.03 g/cm3; ΔE_f = 0.119 eV/atom; density of states at the Fermi level = 37.98 states/eV/cell
1.0
5.788 0.000 0.000
-2.894 4.821 0.000
0.000 0.000 25.678
Er Sm Dy
8 12 2
Direct
0.540 0.079 0.623
0.460 0.921 0.377
0.849 0.698 0.544
0.151 0.302 0.456
0.151 0.302 0.044
0.460 0.921 0.123
0.849 0.698 0.956
0.540 0.079 0.877
0.127 0.254 0.182
0.198 0.397 0.898
0.127 0.254 0.318
0.873 0.746 0.682
0.198 0.397 0.602
0.544 0.089 0.750
0.500 0.000 0.000
0.500 0.000 0.500
0.873 0.746 0.818
0.802 0.603 0.102
0.456 0.911 0.250
0.802 0.603 0.398
0.793 0.585 0.250
0.207 0.415 0.750

---

No. 4
Ce2RuCl PBE optimized geometry; SG = R3m (160); M_tot = 1.4 μB/f.u.; ΔE to the lowest computed polymorph = 25 meV/atom; ρ = 6.73 g/cm3; density of states at the Fermi level = 9.94 states/eV/cell; raw formation energy = -888 meV/atom
1.0
-2.506 1.480 2.651
0.316 -1.017 3.790
4.012 6.054 3.335
Cl Ce Ru
1 2 1
Direct
0.498 0.498 0.505
0.068 0.068 0.796
0.265 0.265 0.205
0.669 0.669 0.994

---

No. 5
SrHfMgZn2 PBE optimized geometry; SG = P4/mmm (123); M_tot = 0.4 μB/f.u.; ρ = 4.19 g/cm3; ΔE_f = 0.889 eV/atom; density of states at the Fermi level = 6.15 states/eV/cell
1.0
-1.125 1.222 -5.013
-5.848 -0.240 1.254
0.055 5.133 1.239
Zn Mg Sr Hf
2 1 1 1
Direct
0.500 0.000 0.000
0.000 0.000 0.500
0.500 0.500 0.500
0.000 0.500 0.000
0.000 0.000 0.000

---

No. 6
Sc2CoPt PBE optimized geometry; SG = Immm (71); M_tot = 0.9 μB/f.u.; ρ = 8.16 g/cm3; ΔE_f = 0.203 eV/atom; density of states at the Fermi level = 3.27 states/eV/cell
1.0
4.557 -1.475 -3.093
-0.855 4.713 3.093
-3.039 -0.261 4.818
Co Sc Pt
1 2 1
Direct
0.000 0.000 0.000
0.000 0.764 0.764
0.000 0.236 0.236
0.000 0.500 0.500